#w
Density functional theory data (PBE) for crystalline HfTiCuRe at its relaxed geometry.

Unit cell a=3.2333 b=3.2333 c=6.2189 alpha=90.00 beta=90.00 gamma=90.00
Element x y z (fractional)
Hf 0.0000 0.0000 0.0000
Ti 0.0000 0.0000 0.4889
Cu 0.5000 0.5000 0.7312
Re 0.5000 0.5000 0.2606

Crystal system: tetragonal

#x
Density functional theory data (PBE) for crystalline HfTiCuRe at its relaxed geometry.

Unit cell a=4.5111 b=4.5111 c=4.5111 alpha=60.00 beta=60.00 gamma=60.00
Element x y z (fractional)
Hf 0.0000 0.0000 0.0000
Ti 0.5000 0.5000 0.5000
Cu 0.2500 0.2500 0.2500
Re 0.7500 0.7500 0.7500

Crystal system: cubic

Name the most stable of them. #w.